[1]
A relaxed CaMgH crystal. Source: the Alexandria database, functional PBE-GGA.

The energy relative to the lowest polymorph listed for this composition comes out at 96.9 meV/atom. As for the raw total energy: -2.52 eV per atom. The calculation puts the total magnetization at 0.0 μB/cell.

a = 3.552 Å, b = 3.552 Å, c = 4.466 Å
α = 90.00°, β = 90.00°, γ = 90.00°
Space group P4/mmm (No. 123)
Inequivalent atoms, fractional coordinates:
Ca  0.000  0.000  0.000 [1 per cell]
Mg  0.500  0.500  0.500 [1 per cell]
H  0.500  0.500  0.000 [1 per cell]



[2]
A relaxed DyHoCuNi crystal. Source: the Alexandria database, functional PBE-GGA.

The formation energy is -0.331 eV per atom. The energy relative to the lowest polymorph listed for this composition comes out at 37.5 meV/atom. As for the raw total energy: -5.10 eV per atom. The calculation puts the total magnetization at 0.0 μB/cell.

a = 6.821 Å, b = 6.821 Å, c = 6.821 Å
α = 90.00°, β = 90.00°, γ = 90.00°
Space group F-43m (No. 216)
Inequivalent atoms, fractional coordinates:
Dy  0.000  0.000  0.000 [4 per cell]
Ho  0.000  0.000  0.500 [4 per cell]
Cu  0.250  0.250  0.750 [4 per cell]
Ni  0.250  0.250  0.250 [4 per cell]



[3]
A relaxed SbMoPt2 crystal. Source: the Alexandria database, functional PBE-GGA.

As for the raw total energy: -6.59 eV per atom. The value obtained for the uncorrected formation energy is 0.171 eV per atom. The calculation puts the total magnetization at 0.0 μB/cell.

a = 2.9920 Å, b = 2.9920 Å, c = 27.0358 Å
α = 90.00°, β = 90.00°, γ = 120.00°
Space group R3m (No. 160, hexagonal axes)
Inequivalent atoms, fractional coordinates:
Sb  0.0000  0.0000  0.0000 [3 per cell]
Mo  0.0000  0.0000  0.7543 [3 per cell]
Pt  0.0000  0.0000  0.2504 [3 per cell]
Pt  0.0000  0.0000  0.4971 [3 per cell]



[4]
A relaxed Mg2SnN crystal. Source: the Alexandria database, functional PBE-GGA.

The energy relative to the lowest polymorph listed for this composition comes out at 1192.5 meV/atom. As for the raw total energy: -3.17 eV per atom. The value obtained for the uncorrected formation energy is 0.710 eV per atom. The calculation puts the total magnetization at 0.0 μB/cell.

a = 6.609 Å, b = 6.609 Å, c = 6.609 Å
α = 90.00°, β = 90.00°, γ = 90.00°
Space group Fm-3m (No. 225)
Inequivalent atoms, fractional coordinates:
Mg  0.250  0.250  0.250 [8 per cell]
Sn  0.000  0.000  0.000 [4 per cell]
N  0.000  0.000  0.500 [4 per cell]